Computed, not measured: an optimized crystal structure of Ta2AgRu at the PBE-GGA level of DFT.

Properties
Energy relative to the lowest polymorph listed for this composition ... 0.39 eV/f.u.
Magnetization ... 0.00 μB/cell
Energy of formation from the pure elements ... 143 meV per atom
Final energy ... -8.815 eV/atom

a = 2.8307 Å, b = 2.8307 Å, c = 9.1435 Å
α = 90.00°, β = 90.00°, γ = 110.23°
With the nearest neighbours (Å) after each atom.
Sites, in units of the cell vectors:
Ta1 0.0000 0.0000 0.0000  2 Ru 2.59, 6 Ta 2.83-2.86
Ta2 0.5000 0.5000 0.2575  6 Ta 2.83-2.86, 2 Ag 2.90
Ag1 0.0000 0.0000 0.5201  4 Ag 2.83, 2 Ru 2.86, 2 Ta 2.90
Ru1 0.5000 0.5000 0.7783  2 Ta 2.59, 4 Ru 2.83, 2 Ag 2.86